(1)
BaTaSb2Te | PBE | relaxed

```
BaTaSb2Te
1.0
-4.6683 0.3941 3.6765
-0.0695 -5.9296 0.5475
3.7834 0.3953 4.7617
Sb Te Ba Ta
2 1 1 1
Direct
0.0000 0.5000 0.0000 Sb
0.5000 0.0000 0.0000 Sb
0.0000 0.0000 0.5000 Te
0.0000 0.0000 0.0000 Ba
0.5000 0.5000 0.5000 Ta
```

Calculated values
* Fermi-level density of states: 12.3 states/eV/f.u.
* volume: 216 Å³/cell
* size of the total moment: 0.000 μB/f.u.
* space-group type: P4/mmm
* E above lowest polymorph: 11.34 eV per formula unit


(2)
Tb2YSnN4 | PBE | relaxed

```
Tb2YSnN4
1.0
3.4868 0.0000 0.0000
0.0000 6.0367 0.0969
0.0000 -2.1210 5.6405
Tb Y Sn N
2 1 1 4
Direct
0.5000 0.0000 0.5000 Tb
0.0000 0.5000 0.5000 Tb
0.5000 0.5000 0.0000 Y
0.0000 0.0000 0.0000 Sn
0.5000 0.2557 0.2550 N
0.5000 0.7443 0.7450 N
0.0000 0.2549 0.7461 N
0.0000 0.7451 0.2539 N
```

Calculated values
* Fermi-level density of states: 4.5 states/eV/f.u.
* volume: 119 Å³/cell
* E_tot: -7.685 eV/atom
* size of the total moment: 0.000 μB/f.u.
* space-group type: P2/m


(3)
K5Rb6Na | PBE | relaxed

```
K5Rb6Na
1.0
6.9191 -0.0347 -1.9583
-4.9664 10.8481 -4.5502
-0.1241 -0.4891 12.7592
Na K Rb
1 5 6
Direct
0.0000 0.0000 0.0000 Na
0.5000 0.1812 0.8188 K
0.0000 0.3444 0.6556 K
0.5000 0.5000 0.5000 K
0.0000 0.6556 0.3444 K
0.5000 0.8188 0.1812 K
0.2325 0.0718 0.3932 Rb
0.7675 0.6068 0.9282 Rb
0.7152 0.2164 0.2164 Rb
0.2848 0.7836 0.7836 Rb
0.2325 0.3932 0.0718 Rb
0.7675 0.9282 0.6068 Rb
```

Calculated values
* formation energy from the elements: 0.17 eV per formula unit
* Fermi-level density of states: 8.6 states/eV/f.u.
* volume: 933 Å³/cell
* size of the total moment: 0.000 μB/f.u.
* space-group type: C2/m


(4)
RbGd2Cl7 | PBE | relaxed

```
RbGd2Cl7
1.0
-4.5816 -5.3236 -0.6552
9.2413 -8.3551 3.2641
-3.4452 1.3417 13.1886
Rb Gd Cl
4 8 28
Direct
0.2500 0.8024 0.0341 Rb
0.7500 0.1976 0.9659 Rb
0.7500 0.3024 0.4659 Rb
0.2500 0.6976 0.5341 Rb
0.2500 0.4600 0.2383 Gd
0.7500 0.5400 0.7617 Gd
0.7500 0.9600 0.2617 Gd
0.2500 0.0400 0.7383 Gd
0.2500 0.1570 0.2469 Gd
0.7500 0.8430 0.7531 Gd
0.7500 0.6570 0.2531 Gd
0.2500 0.3430 0.7469 Gd
0.0101 0.3070 0.1729 Cl
0.9899 0.6930 0.8271 Cl
0.9899 0.8070 0.3271 Cl
0.5101 0.6930 0.8271 Cl
0.0101 0.1930 0.6729 Cl
0.4899 0.3070 0.1729 Cl
0.4899 0.1930 0.6729 Cl
0.5101 0.8070 0.3271 Cl
0.0108 0.5787 0.1256 Cl
0.9892 0.4213 0.8744 Cl
0.9892 0.0787 0.3744 Cl
0.5108 0.4213 0.8744 Cl
0.0108 0.9213 0.6256 Cl
0.4892 0.5787 0.1256 Cl
0.4892 0.9213 0.6256 Cl
0.5108 0.0787 0.3744 Cl
0.0093 0.0394 0.1321 Cl
0.9907 0.9606 0.8679 Cl
0.9907 0.5394 0.3679 Cl
0.5093 0.9606 0.8679 Cl
0.0093 0.4606 0.6321 Cl
0.4907 0.0394 0.1321 Cl
0.4907 0.4606 0.6321 Cl
0.5093 0.5394 0.3679 Cl
0.2500 0.3109 0.3869 Cl
0.7500 0.6891 0.6131 Cl
0.7500 0.8109 0.1131 Cl
0.2500 0.1891 0.8869 Cl
```

Calculated values
* Fermi-level density of states: 0.0 states/eV/f.u.
* volume: 1244 Å³/cell
* E_tot: -6.461 eV/atom
* size of the total moment: 13.930 μB/f.u.
* space-group type: Pnma


(5)
LiUPb2Se5 | PBE | relaxed

```
LiUPb2Se5
1.0
4.1847 0.0000 0.0000
-2.0923 9.0125 0.0000
0.0000 0.0000 13.7462
Li U Pb Se
2 2 4 10
Direct
0.5662 0.1323 0.9544 Li
0.4338 0.8677 0.4544 Li
0.7775 0.5550 0.5306 U
0.2225 0.4450 0.0306 U
0.8993 0.7985 0.7837 Pb
0.0915 0.1830 0.6440 Pb
0.1007 0.2015 0.2837 Pb
0.9085 0.8170 0.1440 Pb
0.3725 0.7450 0.9961 Se
0.7074 0.4148 0.9016 Se
0.5101 0.0203 0.7830 Se
0.2609 0.5217 0.6660 Se
0.9266 0.8532 0.5645 Se
0.6275 0.2550 0.4961 Se
0.2926 0.5852 0.4016 Se
0.4899 0.9797 0.2830 Se
0.7391 0.4783 0.1660 Se
0.0734 0.1468 0.0645 Se
```

Calculated values
* Fermi-level density of states: 4.3 states/eV/f.u.
* volume: 518 Å³/cell
* E_tot: -5.074 eV/atom
* size of the total moment: 1.000 μB/f.u.
* space-group type: Cmc2_1


(6)
SbAu4 | PBE | relaxed

```
SbAu4
1.0
5.1641 0.0000 0.0000
0.0000 5.1641 0.0000
0.0000 0.0000 5.1641
Sb Au
1 4
Direct
0.5000 0.5000 0.5000 Sb
0.0000 0.0000 0.0000 Au
0.5000 0.0000 0.5000 Au
0.0000 0.5000 0.5000 Au
0.5000 0.5000 0.0000 Au
```

Calculated values
* Fermi-level density of states: 1.5 states/eV/f.u.
* volume: 138 Å³/cell
* size of the total moment: 0.000 μB/f.u.
* space-group type: Pm-3m
* E above lowest polymorph: 3.01 eV per formula unit


(7)
LiEr2Ge2 | PBE | relaxed

```
LiEr2Ge2
1.0
3.8999 0.0000 1.6613
1.2252 4.8368 2.5320
-0.0791 -0.0936 5.5939
Li Er Ge
1 2 2
Direct
0.5000 0.5000 0.0000 Li
0.7065 0.7935 0.2935 Er
0.2935 0.2065 0.7065 Er
0.0000 0.2186 0.2815 Ge
0.0000 0.7814 0.7185 Ge
```

Calculated values
* formation energy from the elements: -3.42 eV per formula unit
* Fermi-level density of states: 3.1 states/eV/f.u.
* volume: 107 Å³/cell
* size of the total moment: 0.000 μB/f.u.
* space-group type: Immm


(8)
SrCr3Ru | PBE | relaxed

```
SrCr3Ru
1.0
-3.8562 1.2908 1.5760
-2.0137 -1.9040 -3.3675
-0.3087 -3.7052 2.2795
Ru Cr Sr
1 3 1
Direct
0.5000 0.5000 0.5000 Ru
0.0000 0.5000 0.0000 Cr
0.0000 0.0000 0.5000 Cr
0.5000 0.0000 0.0000 Cr
0.0000 0.0000 0.0000 Sr
```

Calculated values
* formation energy from the elements: 14.96 eV per formula unit
* Fermi-level density of states: 9.6 states/eV/f.u.
* volume: 83 Å³/cell
* size of the total moment: 0.006 μB/f.u.
* space-group type: Pm-3m
* E above lowest polymorph: 10.55 eV per formula unit


(9)
BaCaBi | PBE | relaxed

```
BaCaBi
1.0
-1.7880 3.8230 -1.1674
-2.6000 -0.1409 3.5207
6.6300 1.2721 2.2240
Ca Bi Ba
1 1 1
Direct
0.6630 0.6630 0.3260 Ca
0.2555 0.2555 0.5110 Bi
0.9315 0.9315 0.8630 Ba
```

Calculated values
* formation energy from the elements: -1.66 eV per formula unit
* Fermi-level density of states: 1.5 states/eV/f.u.
* volume: 123 Å³/cell
* size of the total moment: 0.816 μB/f.u.
* space-group type: I4mm
* E above lowest polymorph: 0.86 eV per formula unit


(10)
YPW2 | PBE | relaxed

```
YPW2
1.0
-2.0384 -0.3699 2.1591
-0.2343 -2.2109 -2.0028
5.5191 -4.5924 4.4238
Y P W
1 1 2
Direct
0.5000 0.5000 0.5000 Y
0.5000 0.5000 0.0000 P
0.0000 0.0000 0.1997 W
0.0000 0.0000 0.8003 W
```

Calculated values
* formation energy from the elements: 1.36 eV per formula unit
* Fermi-level density of states: 2.9 states/eV/f.u.
* volume: 71 Å³/cell
* size of the total moment: 0.000 μB/f.u.
* space-group type: Cmmm


(11)
ErSnPd | PBE | relaxed

```
ErSnPd
1.0
-5.3658 -1.2879 -0.9385
2.8313 -1.1140 -4.6983
1.5999 -8.9078 3.0762
Sn Er Pd
4 4 4
Direct
0.3311 0.6690 0.2851 Sn
0.6326 0.3674 0.1647 Sn
0.6326 0.3674 0.8353 Sn
0.3311 0.6690 0.7149 Sn
0.9654 0.0346 0.2133 Er
0.9654 0.0346 0.7867 Er
0.3820 0.1306 0.5000 Er
0.8694 0.6180 0.5000 Er
0.8798 0.1202 0.5000 Pd
0.6352 0.7901 0.0000 Pd
0.2099 0.3648 0.0000 Pd
0.1656 0.8344 0.0000 Pd
```

Calculated values
* formation energy from the elements: -1.37 eV per formula unit
* Fermi-level density of states: 2.0 states/eV/f.u.
* volume: 286 Å³/cell
* size of the total moment: 0.000 μB/f.u.
* space-group type: Amm2


(12)
Cr3GaW | PBE | relaxed

```
Cr3GaW
1.0
-3.9116 -0.8848 -1.4685
-1.0034 -1.7849 3.7479
-1.3902 3.7777 1.4269
Cr Ga W
3 1 1
Direct
0.0000 0.5000 0.0000 Cr
0.0000 0.0000 0.5000 Cr
0.5000 0.0000 0.0000 Cr
0.0000 0.0000 0.0000 Ga
0.5000 0.5000 0.5000 W
```

Calculated values
* formation energy from the elements: 8.21 eV per formula unit
* Fermi-level density of states: 7.2 states/eV/f.u.
* volume: 78 Å³/cell
* size of the total moment: 0.006 μB/f.u.
* space-group type: Pm-3m
* E above lowest polymorph: 0.69 eV per formula unit


(13)
LiFeHg2 | PBE | relaxed

```
LiFeHg2
1.0
4.6207 0.0190 -0.0149
3.6392 2.8473 -0.0149
0.8553 0.2968 5.6991
Fe Hg Li
1 2 1
Direct
0.7500 0.7500 0.7500 Fe
0.0031 0.0031 0.9962 Hg
0.4969 0.4969 0.5038 Hg
0.2500 0.2500 0.2500 Li
```

Calculated values
* formation energy from the elements: 0.81 eV per formula unit
* Fermi-level density of states: 2.7 states/eV/f.u.
* volume: 75 Å³/cell
* size of the total moment: 2.761 μB/f.u.
* space-group type: C2/m


(14)
NdDyTeAs | PBE | relaxed

```
NdDyTeAs
1.0
-2.6856 -3.2323 -0.2129
3.8766 -0.5830 1.5293
-1.9722 3.9489 6.5044
Nd Dy Te As
1 1 1 1
Direct
0.1133 0.9546 0.0832 Nd
0.4916 0.1437 0.6506 Dy
0.9738 0.3850 0.3739 Te
0.2992 0.5475 0.8619 As
```

Calculated values
* Fermi-level density of states: 2.6 states/eV/f.u.
* volume: 115 Å³/cell
* E_tot: -5.758 eV/atom
* size of the total moment: 0.000 μB/f.u.
* space-group type: R3m


(15)
PbBr2F | PBE | relaxed

```
PbBr2F
1.0
-5.9627 2.5994 6.3924
-5.2281 -7.2157 -1.9425
-4.2798 -3.7496 4.0383
Pb Br F
2 4 2
Direct
0.0000 0.0000 0.0000 Pb
0.7500 0.2500 0.5000 Pb
0.6448 0.1250 0.2500 Br
0.1052 0.6250 0.2500 Br
0.3750 0.3552 0.7500 Br
0.8750 0.8948 0.7500 Br
0.5000 0.5000 0.0000 F
0.2500 0.7500 0.5000 F
```

Calculated values
* Fermi-level density of states: 0.6 states/eV/f.u.
* volume: 222 Å³/cell
* size of the total moment: 0.000 μB/f.u.
* space-group type: I-42d
* E above lowest polymorph: 0.00 eV per formula unit


(16)
SmTh3Pt12 | PBE | relaxed

```
SmTh3Pt12
1.0
4.2169 0.0000 0.0000
0.0000 4.2169 0.0000
0.0000 0.0000 16.8857
Sm Th Pt
1 3 12
Direct
0.0000 0.0000 0.0000 Sm
0.0000 0.0000 0.2463 Th
0.0000 0.0000 0.5000 Th
0.0000 0.0000 0.7537 Th
0.5000 0.5000 0.0000 Pt
0.5000 0.5000 0.2499 Pt
0.5000 0.5000 0.5000 Pt
0.5000 0.5000 0.7501 Pt
0.5000 0.0000 0.1242 Pt
0.5000 0.0000 0.3745 Pt
0.5000 0.0000 0.6255 Pt
0.5000 0.0000 0.8758 Pt
0.0000 0.5000 0.1242 Pt
0.0000 0.5000 0.3745 Pt
0.0000 0.5000 0.6255 Pt
0.0000 0.5000 0.8758 Pt
```

Calculated values
* formation energy from the elements: -17.38 eV per formula unit
* Fermi-level density of states: 2.0 states/eV/f.u.
* volume: 300 Å³/cell
* size of the total moment: 0.000 μB/f.u.
* space-group type: P4/mmm


(17)
NaIn9Cu2 | PBE | relaxed

```
NaIn9Cu2
1.0
0.4234 6.7086 -3.2443
-8.6013 4.5044 -0.3941
1.8154 7.1153 6.3642
Na In Cu
2 18 4
Direct
0.5000 0.0000 0.0000 Na
0.2500 0.5000 0.5000 Na
0.7500 0.5000 0.5000 In
0.0000 0.0000 0.0000 In
0.9729 0.9427 0.6975 In
0.6131 0.0573 0.3025 In
0.6656 0.1975 0.5573 In
0.4204 0.8025 0.4427 In
0.7771 0.8025 0.5573 In
0.1369 0.1975 0.4427 In
0.0844 0.9427 0.3025 In
0.3296 0.0573 0.6975 In
0.7771 0.5573 0.8025 In
0.1369 0.4427 0.1975 In
0.0844 0.3025 0.9427 In
0.3296 0.6975 0.0573 In
0.9729 0.6975 0.9427 In
0.6131 0.3025 0.0573 In
0.6656 0.5573 0.1975 In
0.4204 0.4427 0.8025 In
0.8750 0.2500 0.7500 Cu
0.8750 0.7500 0.2500 Cu
0.8750 0.2500 0.2500 Cu
0.3750 0.7500 0.7500 Cu
```

Calculated values
* formation energy from the elements: 0.56 eV per formula unit
* Fermi-level density of states: 3.6 states/eV/f.u.
* volume: 601 Å³/cell
* size of the total moment: 0.000 μB/f.u.
* space-group type: I4_1/amd


(18)
Ag2TePd8 | PBE | relaxed

```
Ag2TePd8
1.0
4.4240 -1.3420 -0.9953
-1.6923 6.5806 -2.1185
-1.3163 1.1294 6.9028
Ag Te Pd
2 1 8
Direct
0.5595 0.5602 0.2785 Ag
0.5595 0.2785 0.5602 Ag
0.5851 0.0459 0.0459 Te
0.8127 0.4505 0.0023 Pd
0.8127 0.0023 0.4505 Pd
0.0611 0.4213 0.4213 Pd
0.0797 0.1790 0.9004 Pd
0.0797 0.9004 0.1790 Pd
0.8076 0.7270 0.7270 Pd
0.3211 0.8664 0.6026 Pd
0.3211 0.6026 0.8664 Pd
```

Calculated values
* Fermi-level density of states: 7.0 states/eV/f.u.
* volume: 185 Å³/cell
* E_tot: -4.654 eV/atom
* size of the total moment: 0.000 μB/f.u.
* space-group type: Cm


(19)
Be2AlCu | PBE | relaxed

```
Be2AlCu
1.0
-3.5875 1.1257 -1.2225
-3.1880 -0.8514 2.1780
-1.9220 2.8840 1.9027
Be Al Cu
2 1 1
Direct
0.0000 0.0000 0.0000 Be
0.2500 0.2500 0.2500 Be
0.5000 0.5000 0.5000 Al
0.7500 0.7500 0.7500 Cu
```

Calculated values
* formation energy from the elements: 0.51 eV per formula unit
* Fermi-level density of states: 1.4 states/eV/f.u.
* volume: 44 Å³/cell
* size of the total moment: 0.000 μB/f.u.
* space-group type: F-43m


(20)
CeTmAg4 | PBE | relaxed

```
CeTmAg4
1.0
5.7133 0.0000 0.0000
2.8566 4.9478 0.0000
2.8566 1.6493 4.6649
Tm Ag Ce
1 4 1
Direct
0.2500 0.2500 0.2500 Tm
0.6246 0.6246 0.1262 Ag
0.6246 0.1262 0.6246 Ag
0.6246 0.6246 0.6246 Ag
0.1262 0.6246 0.6246 Ag
0.0000 0.0000 0.0000 Ce
```

Calculated values
* formation energy from the elements: -0.62 eV per formula unit
* Fermi-level density of states: 7.6 states/eV/f.u.
* volume: 132 Å³/cell
* size of the total moment: 1.047 μB/f.u.
* space-group type: F-43m
* E above lowest polymorph: 0.54 eV per formula unit


(21)
AcMgSi2Pt5 | PBE | relaxed

```
AcMgSi2Pt5
1.0
4.1730 0.0000 0.0000
0.0000 4.1730 0.0000
0.0000 0.0000 10.4495
Ac Mg Si Pt
1 1 2 5
Direct
0.0000 0.0000 0.5000 Ac
0.0000 0.0000 0.0000 Mg
0.5000 0.5000 0.2730 Si
0.5000 0.5000 0.7270 Si
0.0000 0.5000 0.1668 Pt
0.5000 0.0000 0.1668 Pt
0.0000 0.5000 0.8332 Pt
0.5000 0.0000 0.8332 Pt
0.5000 0.5000 0.5000 Pt
```

Calculated values
* Fermi-level density of states: 2.7 states/eV/f.u.
* volume: 182 Å³/cell
* E_tot: -6.014 eV/atom
* size of the total moment: 0.000 μB/f.u.
* space-group type: P4/mmm


(22)
Er4GaCo | PBE | relaxed

```
Er4GaCo
1.0
-2.5276 -0.9995 5.2191
-0.4273 -6.9917 -3.7496
7.2607 2.3130 1.7438
Er Ga Co
8 2 2
Direct
0.0371 0.2176 0.8666 Er
0.7869 0.7078 0.6486 Er
0.3295 0.6490 0.8666 Er
0.3617 0.9408 0.6486 Er
0.6383 0.0592 0.3514 Er
0.6705 0.3510 0.1334 Er
0.2131 0.2922 0.3514 Er
0.9629 0.7824 0.1334 Er
0.3798 0.6298 0.2595 Ga
0.6202 0.3702 0.7405 Ga
0.2500 0.0000 0.0001 Co
0.7500 0.0000 0.9999 Co
```

Calculated values
* formation energy from the elements: -1.77 eV per formula unit
* Fermi-level density of states: 6.0 states/eV/f.u.
* volume: 295 Å³/cell
* size of the total moment: 0.000 μB/f.u.
* space-group type: C2/c


(23)
Ag2Sb | PBE | relaxed

```
Ag2Sb
1.0
3.2278 0.0000 0.0000
-1.6139 2.7953 0.0000
0.0000 0.0000 7.0420
Sb Ag
1 2
Direct
0.0000 0.0000 0.0000 Sb
0.6667 0.3333 0.6565 Ag
0.3333 0.6667 0.3435 Ag
```

Calculated values
* Fermi-level density of states: 0.4 states/eV/f.u.
* volume: 64 Å³/cell
* size of the total moment: 0.000 μB/f.u.
* space-group type: P-3m1
* E above lowest polymorph: 0.17 eV per formula unit